[1]
Here is a geometry-optimized VAsP structure from Alexandria. Energies are from PBE.

Properties
**Relative energy among the computed polymorphs**: 130 meV/atom
**Uncorrected energy**: -19.573 eV/cell
**N(E_F)**: 1.59 states/eV/cell
**Energy relative to the elements**: -132 meV per atom

Cell lengths 4.241, 4.241, 4.247 Å; angles 113.07, 113.07, 46.61 degrees
Element x y z (fractional)
V (0.000, 0.000, 0.000)
As (0.224, 0.224, 0.662)
P (0.743, 0.743, 0.182)

=====

[2]
Here is a geometry-optimized Ce2SmTmBi4 structure from Alexandria. Energies are from PBE.

Properties
**Uncorrected energy**: -43.144 eV/cell
**N(E_F)**: 14.78 states/eV/cell
**Energy relative to the elements**: -820 meV per atom

Cell lengths 7.876, 4.547, 7.884 Å; angles 90.00, 109.47, 90.00 degrees
Element x y z (fractional)
Ce (0.000, 0.000, 0.000)
Ce (0.500, 0.500, 0.000)
Sm (0.000, 0.500, 0.500)
Tm (0.500, 0.000, 0.500)
Bi (0.253, 0.000, 0.746)
Bi (0.257, 0.500, 0.257)
Bi (0.743, 0.500, 0.743)
Bi (0.747, 0.000, 0.254)

=====

[3]
Here is a geometry-optimized AlCrIr structure from Alexandria. Energies are from PBE.

Properties
**Uncorrected energy**: -23.156 eV/cell
**N(E_F)**: 2.64 states/eV/cell
**Energy relative to the elements**: -310 meV per atom

Cell lengths 4.576, 4.576, 4.576 Å; angles 144.66, 131.87, 61.11 degrees
Element x y z (fractional)
Al (0.000, 0.000, 0.000)
Cr (0.668, 0.668, 0.000)
Ir (0.335, 0.335, 0.000)

=====

[4]
Here is a geometry-optimized Pr2INO structure from Alexandria. Energies are from PBE.

Properties
**Energy relative to the elements, uncorrected**: -2.085 eV/atom
**Uncorrected energy**: -69.636 eV/cell
**N(E_F)**: 0.00 states/eV/cell

Cell lengths 6.984, 6.984, 10.163 Å; angles 118.00, 118.00, 33.89 degrees
Element x y z (fractional)
Pr (0.025, 0.025, 0.283)
Pr (0.350, 0.350, 0.954)
Pr (0.650, 0.650, 0.046)
Pr (0.975, 0.975, 0.717)
I (0.332, 0.332, 0.376)
I (0.668, 0.668, 0.624)
N (0.460, 0.460, 0.823)
N (0.540, 0.540, 0.177)
O (0.153, 0.153, 0.931)
O (0.847, 0.847, 0.069)

=====

[5]
Here is a geometry-optimized MnNbReMo2 structure from Alexandria. Energies are from PBE.

Properties
**Uncorrected energy**: -42.671 eV/cell
**N(E_F)**: 5.48 states/eV/cell
**Energy relative to the elements**: 2136 meV per atom

Cell lengths 4.679, 4.679, 4.295 Å; angles 90.00, 90.00, 90.00 degrees
Element x y z (fractional)
Mn (0.000, 0.000, 0.000)
Nb (0.000, 0.000, 0.500)
Re (0.500, 0.500, 0.000)
Mo (0.000, 0.500, 0.500)
Mo (0.500, 0.000, 0.500)

=====

[6]
Here is a geometry-optimized Nd4Zn3Ir structure from Alexandria. Energies are from PBE.

Properties
**Uncorrected energy**: -34.818 eV/cell
**N(E_F)**: 6.64 states/eV/cell
**Energy relative to the elements**: -383 meV per atom

Cell lengths 3.657, 3.657, 14.664 Å; angles 90.00, 90.00, 90.00 degrees
Element x y z (fractional)
Nd (0.000, 0.000, 0.114)
Nd (0.000, 0.000, 0.374)
Nd (0.000, 0.000, 0.626)
Nd (0.000, 0.000, 0.886)
Zn (0.500, 0.500, 0.250)
Zn (0.500, 0.500, 0.500)
Zn (0.500, 0.500, 0.750)
Ir (0.500, 0.500, 0.000)

=====

Q: Look up the uncorrected energy of the fourth one.
A: -69.636 eV/cell

=====

Q: The lowest uncorrected energy belongs to which entry?
A: Pr2INO

=====

What did the fourth record say?
Here is a geometry-optimized Pr2INO structure from Alexandria. Energies are from PBE.

Properties
**Energy relative to the elements, uncorrected**: -2.085 eV/atom
**Uncorrected energy**: -69.636 eV/cell
**N(E_F)**: 0.00 states/eV/cell

Cell lengths 6.984, 6.984, 10.163 Å; angles 118.00, 118.00, 33.89 degrees
Element x y z (fractional)
Pr (0.025, 0.025, 0.283)
Pr (0.350, 0.350, 0.954)
Pr (0.650, 0.650, 0.046)
Pr (0.975, 0.975, 0.717)
I (0.332, 0.332, 0.376)
I (0.668, 0.668, 0.624)
N (0.460, 0.460, 0.823)
N (0.540, 0.540, 0.177)
O (0.153, 0.153, 0.931)
O (0.847, 0.847, 0.069)